Here is a relaxed CsRbZnHSe crystal from the Alexandria database. Energies are from PBE-GGA. Values from VASP.

Calculated values
For the offset from the most stable computed form, the calculation gives 48.1 meV per atom. The space group is P1, No. 1.

Cell and atoms, written as Quantum ESPRESSO input:
```
&SYSTEM
  ibrav = 0, nat = 5, ntyp = 5
/
ATOMIC_SPECIES
Cs 132.91 Cs.upf
Rb 85.47 Rb.upf
Zn 65.41 Zn.upf
H 1.01 H.upf
Se 78.96 Se.upf
ATOMIC_POSITIONS angstrom
Cs -3.5843 0.4589 -3.8141
Rb -6.9557 1.1484 -2.0566
Zn -3.2334 1.6763 -0.5157
H -4.3445 2.4614 -1.5780
Se -5.4363 -2.1689 -1.8233
CELL_PARAMETERS angstrom
-1.4854 2.2447 -3.6831
-4.4859 -3.7524 -0.4710
-2.5280 3.9782 3.5665
```